A relaxed Ac3Ga3Cu crystal, computed with GGA-PBE.

Properties
Fermi-level density of states ... 26.1 states/eV/cell
Magnetization ... 0.000 μB/atom
Energy of formation ... -447 meV/atom
Uncorrected energy ... -114.530 eV/cell

a = 11.7252 Å, b = 4.6207 Å, c = 15.5272 Å
α = 90.00°, β = 110.15°, γ = 90.00°
Space group C2/m (No. 12)
Inequivalent atoms, fractional coordinates:
Ac (0.0438, 0.0000, 0.2720) [4 per cell]
Ac (0.1796, 0.0000, 0.5773) [4 per cell]
Ac (0.1888, 0.5000, 0.1055) [4 per cell]
Ga (0.0303, 0.5000, 0.4243) [4 per cell]
Ga (0.0630, 0.0000, 0.9474) [4 per cell]
Ga (0.1649, 0.5000, 0.7312) [4 per cell]
Cu (0.0950, 0.5000, 0.8771) [4 per cell]